(1)
{
  "formula": "Ac12Hg6Ge",
  "functional": "PBE",
  "state": "optimized geometry",
  "crystal_system": "trigonal",
  "delta_e_f_ev_per_atom": -0.175,
  "lattice": [[7.0221, 4.0542, 4.6123], [-7.0221, 4.0542, 4.6123], [0.0000, -8.1085, 4.6123]],
  "species": ["Ac", "Ac", "Ac", "Ac", "Ac", "Ac", "Ac", "Ac", "Ac", "Ac", "Ac", "Ac", "Hg", "Hg", "Hg", "Hg", "Hg", "Hg", "Ge"],
  "fractional_positions": [[0.0182, 0.6748, 0.9173], [0.0827, 0.9818, 0.3252], [0.1903, 0.4225, 0.5661], [0.3252, 0.0827, 0.9818], [0.4225, 0.5661, 0.1903], [0.4339, 0.8097, 0.5775], [0.5661, 0.1903, 0.4225], [0.5775, 0.4339, 0.8097], [0.6748, 0.9173, 0.0182], [0.8097, 0.5775, 0.4339], [0.9173, 0.0182, 0.6748], [0.9818, 0.3252, 0.0827], [0.1282, 0.6399, 0.3120], [0.3120, 0.1282, 0.6399], [0.3601, 0.6880, 0.8718], [0.6399, 0.3120, 0.1282], [0.6880, 0.8718, 0.3601], [0.8718, 0.3601, 0.6880], [0.0000, 0.0000, 0.0000]]
}

=====

(2)
{
  "formula": "CdBiN",
  "functional": "PBE",
  "state": "optimized geometry",
  "crystal_system": "monoclinic",
  "raw_formation_energy_ev_per_atom": 0.12,
  "polymorph_energy_mev_per_atom": 0,
  "lattice": [[12.2918, 0.0000, 0.0000], [0.0000, 5.9963, 0.0000], [-1.3760, 0.0000, 5.7401]],
  "species": ["Cd", "Cd", "Cd", "Cd", "Bi", "Bi", "Bi", "Bi", "N", "N", "N", "N"],
  "fractional_positions": [[0.0224, 0.2500, 0.0107], [0.0224, 0.2500, 0.5107], [0.9776, 0.7500, 0.4893], [0.9776, 0.7500, 0.9893], [0.1844, 0.5563, 0.3394], [0.1844, 0.9437, 0.8394], [0.8156, 0.0563, 0.1606], [0.8156, 0.4437, 0.6606], [0.4947, 0.5605, 0.9266], [0.4947, 0.9395, 0.4266], [0.5053, 0.0605, 0.5734], [0.5053, 0.4395, 0.0734]]
}

=====

(3)
{
  "formula": "TbY2In3",
  "functional": "PBE",
  "state": "optimized geometry",
  "crystal_system": "monoclinic",
  "delta_e_f_ev_per_atom": -0.435,
  "polymorph_energy_mev_per_atom": 56,
  "lattice": [[7.9893, -3.2142, 0.0000], [7.9893, 3.2142, 0.0000], [-1.5276, 0.0000, 6.3579]],
  "species": ["Tb", "Tb", "Y", "Y", "Y", "Y", "In", "In", "In", "In", "In", "In"],
  "fractional_positions": [[0.1302, 0.8698, 0.7500], [0.8698, 0.1302, 0.2500], [0.2156, 0.4438, 0.4129], [0.4438, 0.2156, 0.9129], [0.5562, 0.7844, 0.0871], [0.7844, 0.5562, 0.5871], [0.0471, 0.2819, 0.0504], [0.2819, 0.0471, 0.5504], [0.3686, 0.6314, 0.2500], [0.6314, 0.3686, 0.7500], [0.7181, 0.9529, 0.4496], [0.9529, 0.7181, 0.9496]]
}

=====

(4)
{
  "formula": "Ce2ZnBr",
  "functional": "PBE",
  "state": "optimized geometry",
  "crystal_system": "trigonal",
  "raw_formation_energy_ev_per_atom": -0.54,
  "polymorph_energy_mev_per_atom": 20,
  "lattice": [[1.8069, 1.0432, 9.2317], [-1.8069, 1.0432, 9.2317], [0.0000, -2.0864, 9.2317]],
  "species": ["Ce", "Ce", "Zn", "Br"],
  "fractional_positions": [[0.0000, 0.0000, 0.0000], [0.1711, 0.1711, 0.1711], [0.5857, 0.5857, 0.5857], [0.7516, 0.7516, 0.7516]]
}